## TaIrSeN2 (PBE)

Data for a relaxed TaIrSeN2 crystal.

Lattice parameters (Å, degrees): 3.7071 3.7071 7.9233 90.00 90.00 90.00
Each line ends with the local moment (μB).
Sites, in units of the cell vectors:
Ir  0.0000  0.0000  0.0000  -0.01
Ta  0.5000  0.5000  0.5000  1.36
Se  0.0000  0.0000  0.5000  -0.06
N  0.5000  0.0000  0.0000  0.15
N  0.0000  0.5000  0.0000  0.15

Values from the calculation:
**Calculated volume**: 108.9 Å³/f.u.
**Final energy**: -35.5 eV/f.u.
**Formation energy (no corrections)**: 519.5 kJ/mol of formula units
**DOS at the Fermi energy**: 2.7 states/eV/cell
**Total magnetic moment**: 2.4 μB per cell
**Energy relative to the lowest polymorph listed for this composition**: 249.0 meV/atom